Crystalline PtPb2NO at its relaxed geometry, computed with PBE.

POSCAR file:
```
PtPb2NO
1.0
4.2614 0.0000 0.0000
0.0000 3.7562 0.0000
-1.6358 0.0000 6.9475
Pt Pb N O
1 2 1 1
direct
0.0000 0.0000 0.0000
0.3593 0.0000 0.7001
0.7098 0.5000 0.2807
0.0087 0.5000 0.0021
0.1792 0.5000 0.5193
```

Space-group type: No. 6
Distance to the lowest polymorph of the same formula: 0.015 eV/atom

=====

Crystalline PtPb2NO at its relaxed geometry, computed with PBE.

POSCAR file:
```
PtPb2NO
1.0
3.7817 0.0000 0.0000
0.1411 4.3876 0.0000
1.6799 1.0044 5.7219
Pt Pb N O
1 2 1 1
direct
0.0000 0.0000 0.0000
0.3473 0.3659 0.2683
0.6557 0.6809 0.7017
0.8239 0.6983 0.2909
0.1844 0.3202 0.6881
```

Space-group type: No. 1
Distance to the lowest polymorph of the same formula: 0.198 eV/atom

=====

Crystalline PtPbNO2 at its relaxed geometry, computed with PBE.

POSCAR file:
```
PtPbNO2
1.0
4.2701 0.0000 0.0000
0.0000 4.2701 0.0000
0.0000 0.0000 4.3474
Pt Pb N O
1 1 1 2
direct
0.0000 0.0000 0.0000
0.5000 0.5000 0.5000
0.5000 0.5000 0.0000
0.0000 0.5000 0.5000
0.5000 0.0000 0.5000
```

Space-group type: No. 123

=====

Crystalline PtPb2NO at its relaxed geometry, computed with PBE.

POSCAR file:
```
PtPb2NO
1.0
5.5685 0.0000 0.0000
0.0000 3.7366 0.0000
-1.0046 0.0000 5.7996
Pt Pb N O
1 2 1 1
direct
0.0000 0.0000 0.0000
0.1389 0.0000 0.5313
0.5128 0.5000 0.0011
0.9970 0.5000 0.0005
0.3828 0.5000 0.6148
```

Space-group type: No. 6
Distance to the lowest polymorph of the same formula: 0.000 eV/atom

=====

Crystalline PbS2N2O8 at its relaxed geometry, computed with PBE.

POSCAR file:
```
PbS2N2O8
1.0
2.7842 1.6074 7.8617
-2.7842 1.6074 7.8617
0.0000 -3.2149 7.8617
Pb S N O
1 2 2 8
direct
0.0000 0.0000 0.0000
0.3723 0.3723 0.3723
0.6277 0.6277 0.6277
0.1773 0.1773 0.1773
0.8227 0.8227 0.8227
0.2502 0.2502 0.6883
0.2502 0.6883 0.2502
0.3110 0.3110 0.3110
0.3117 0.7498 0.7498
0.6883 0.2502 0.2502
0.6889 0.6889 0.6889
0.7498 0.3117 0.7498
0.7498 0.7498 0.3117
```

Space-group type: No. 166

=====

Crystalline PbSNO2 at its relaxed geometry, computed with PBE.

POSCAR file:
```
PbSNO2
1.0
4.2290 0.0000 0.0000
0.0000 4.2290 0.0000
0.0000 0.0000 4.5694
Pb S N O
1 1 1 2
direct
0.0000 0.0000 0.0000
0.5000 0.5000 0.5000
0.0000 0.0000 0.5000
0.0000 0.5000 0.0000
0.5000 0.0000 0.0000
```

Space-group type: No. 123

=====

Crystalline PbS2NO at its relaxed geometry, computed with PBE.

POSCAR file:
```
PbS2NO
1.0
5.3283 0.0000 0.0000
0.0000 5.3283 0.0000
0.0000 0.0000 4.5769
Pb S N O
1 2 1 1
direct
0.0000 0.0000 0.0000
0.0000 0.5000 0.0000
0.5000 0.0000 0.0000
0.0000 0.0000 0.5000
0.5000 0.5000 0.5000
```

Space-group type: No. 123

=====

Crystalline PbSN2O at its relaxed geometry, computed with PBE.

POSCAR file:
```
PbSN2O
1.0
4.6595 0.0000 0.0000
0.0000 4.6595 0.0000
0.0000 0.0000 4.2418
Pb S N O
1 1 2 1
direct
0.0000 0.0000 0.0000
0.5000 0.5000 0.5000
0.0000 0.5000 0.0000
0.5000 0.0000 0.0000
0.0000 0.0000 0.5000
```

Space-group type: No. 123

=====

Crystalline PbSNO2 at its relaxed geometry, computed with PBE.

POSCAR file:
```
PbSNO2
1.0
4.0360 0.0000 0.0000
0.0000 4.0360 0.0000
0.0000 0.0000 3.6778
Pb S N O
1 1 1 2
direct
0.0000 0.0000 0.0000
0.5000 0.5000 0.5000
0.5000 0.5000 0.0000
0.0000 0.5000 0.5000
0.5000 0.0000 0.5000
```

Space-group type: No. 123

=====

Crystalline PbSN2O at its relaxed geometry, computed with PBE.

POSCAR file:
```
PbSN2O
1.0
4.1447 0.0000 0.0000
0.0000 4.1447 0.0000
0.0000 0.0000 3.8302
Pb S N O
1 1 2 1
direct
0.0000 0.0000 0.0000
0.5000 0.5000 0.0000
0.0000 0.5000 0.5000
0.5000 0.0000 0.5000
0.5000 0.5000 0.5000
```

Space-group type: No. 123

=====

Crystalline PbSN2O at its relaxed geometry, computed with PBE.

POSCAR file:
```
PbSN2O
1.0
4.5020 0.0000 0.0000
0.0000 4.5020 0.0000
0.0000 0.0000 5.3961
Pb S N O
1 1 2 1
direct
0.0000 0.0000 0.0000
0.0000 0.0000 0.5000
0.0000 0.5000 0.0000
0.5000 0.0000 0.0000
0.5000 0.5000 0.5000
```

Space-group type: No. 123

=====

Crystalline PbSN2O at its relaxed geometry, computed with PBE.

POSCAR file:
```
PbSN2O
1.0
3.5982 0.0000 0.0000
0.0000 3.5982 0.0000
0.0000 0.0000 4.6669
Pb S N O
1 1 2 1
direct
0.0000 0.0000 0.0000
0.5000 0.5000 0.5000
0.0000 0.5000 0.5000
0.5000 0.0000 0.5000
0.5000 0.5000 0.0000
```

Space-group type: No. 123

=====

Crystalline SbPbNO2 at its relaxed geometry, computed with PBE.

POSCAR file:
```
SbPbNO2
1.0
4.2242 0.0000 0.0000
0.0000 4.2242 0.0000
0.0000 0.0000 4.4294
Sb Pb N O
1 1 1 2
direct
0.0000 0.0000 0.0000
0.5000 0.5000 0.5000
0.5000 0.5000 0.0000
0.0000 0.5000 0.5000
0.5000 0.0000 0.5000
```

Space-group type: No. 123

=====

Crystalline SbPbN2O at its relaxed geometry, computed with PBE.

POSCAR file:
```
SbPbN2O
1.0
4.2905 0.0000 0.0000
0.0000 4.2905 0.0000
0.0000 0.0000 4.2579
Sb Pb N O
1 1 2 1
direct
0.0000 0.0000 0.0000
0.5000 0.5000 0.5000
0.0000 0.5000 0.5000
0.5000 0.0000 0.5000
0.5000 0.5000 0.0000
```

Space-group type: No. 123

=====

Crystalline SbPbN2O at its relaxed geometry, computed with PBE.

POSCAR file:
```
SbPbN2O
1.0
4.1757 0.0000 0.0000
0.0000 4.1757 0.0000
0.0000 0.0000 4.1145
Sb Pb N O
1 1 2 1
direct
0.0000 0.0000 0.0000
0.5000 0.5000 0.5000
0.0000 0.5000 0.0000
0.5000 0.0000 0.0000
0.0000 0.0000 0.5000
```

Space-group type: No. 123

=====

Crystalline SbPbNO2 at its relaxed geometry, computed with PBE.

POSCAR file:
```
SbPbNO2
1.0
4.1117 0.0000 0.0000
0.0000 4.1117 0.0000
0.0000 0.0000 4.2172
Sb Pb N O
1 1 1 2
direct
0.0000 0.0000 0.0000
0.5000 0.5000 0.5000
0.0000 0.0000 0.5000
0.0000 0.5000 0.0000
0.5000 0.0000 0.0000
```

Space-group type: No. 123

=====

Crystalline SiPbNO2 at its relaxed geometry, computed with PBE.

POSCAR file:
```
SiPbNO2
1.0
3.5696 0.0000 0.0000
0.0000 3.5696 0.0000
0.0000 0.0000 4.1075
Si Pb N O
1 1 1 2
direct
0.0000 0.0000 0.0000
0.5000 0.5000 0.5000
0.0000 0.0000 0.5000
0.0000 0.5000 0.0000
0.5000 0.0000 0.0000
```

Space-group type: No. 123

=====

Crystalline SiPbNO2 at its relaxed geometry, computed with PBE.

POSCAR file:
```
SiPbNO2
1.0
4.2689 0.0000 0.0000
0.0000 4.2689 0.0000
0.0000 0.0000 4.3961
Si Pb N O
1 1 1 2
direct
0.0000 0.0000 0.0000
0.5000 0.5000 0.5000
0.5000 0.5000 0.0000
0.0000 0.5000 0.5000
0.5000 0.0000 0.5000
```

Space-group type: No. 123

=====

Crystalline TePbN2O at its relaxed geometry, computed with PBE.

POSCAR file:
```
TePbN2O
1.0
4.6660 0.0000 0.0000
0.0000 4.6660 0.0000
0.0000 0.0000 4.3184
Te Pb N O
1 1 2 1
direct
0.0000 0.0000 0.0000
0.5000 0.5000 0.0000
0.0000 0.5000 0.5000
0.5000 0.0000 0.5000
0.0000 0.0000 0.5000
```

Space-group type: No. 123

=====

Crystalline TePbN2O at its relaxed geometry, computed with PBE.

POSCAR file:
```
TePbN2O
1.0
4.1896 0.0000 0.0000
0.0000 4.1896 0.0000
0.0000 0.0000 6.5320
Te Pb N O
1 1 2 1
direct
0.0000 0.0000 0.0000
0.0000 0.0000 0.5000
0.0000 0.5000 0.5000
0.5000 0.0000 0.5000
0.5000 0.5000 0.0000
```

Space-group type: No. 123

=====

Crystalline TePbN2O at its relaxed geometry, computed with PBE.

POSCAR file:
```
TePbN2O
1.0
4.4130 0.0000 0.0000
0.0000 4.4130 0.0000
0.0000 0.0000 4.1732
Te Pb N O
1 1 2 1
direct
0.0000 0.0000 0.0000
0.5000 0.5000 0.5000
0.0000 0.5000 0.5000
0.5000 0.0000 0.5000
0.5000 0.5000 0.0000
```

Space-group type: No. 123

=====

Crystalline TePbN2O at its relaxed geometry, computed with PBE.

POSCAR file:
```
TePbN2O
1.0
4.1693 0.0000 0.0000
0.0000 4.1693 0.0000
0.0000 0.0000 4.1439
Te Pb N O
1 1 2 1
direct
0.0000 0.0000 0.0000
0.5000 0.5000 0.5000
0.0000 0.5000 0.0000
0.5000 0.0000 0.0000
0.0000 0.0000 0.5000
```

Space-group type: No. 123

=====

Crystalline TiPbNO2 at its relaxed geometry, computed with PBE.

POSCAR file:
```
TiPbNO2
1.0
4.1781 0.0000 0.0000
0.0000 4.1781 0.0000
0.0000 0.0000 4.2749
Ti Pb N O
1 1 1 2
direct
0.0000 0.0000 0.0000
0.5000 0.5000 0.5000
0.5000 0.5000 0.0000
0.0000 0.5000 0.5000
0.5000 0.0000 0.5000
```

Space-group type: No. 123

=====

| no. | E_tot (eV per atom) | total magnetic moment (μB/f.u.) |
| --- | --- | --- |
| 1 | -5.525 | 0.000 |
| 2 | -5.342 | 0.000 |
| 3 | -4.379 | 3.068 |
| 4 | -5.540 | 0.000 |
| 5 | -5.355 | 5.824 |
| 6 | -3.956 | 0.389 |
| 7 | -3.311 | 5.436 |
| 8 | -3.955 | 1.899 |
| 9 | -4.937 | 0.000 |
| 10 | -4.065 | 0.977 |
| 11 | -3.635 | 6.288 |
| 12 | -4.945 | 0.000 |
| 13 | -4.835 | 0.000 |
| 14 | -4.686 | 0.000 |
| 15 | -5.535 | 0.252 |
| 16 | -5.695 | 0.000 |
| 17 | -6.436 | 0.000 |
| 18 | -4.696 | 0.991 |
| 19 | -3.936 | 3.609 |
| 20 | -3.684 | 2.944 |
| 21 | -4.289 | 0.270 |
| 22 | -5.164 | 0.166 |
| 23 | -5.633 | 0.123 |